# NaTbFeSe3

Crystalline NaTbFeSe3 at its relaxed geometry (PBE-GGA, the Open Quantum Materials Database).

Unit cell a=8.2235 b=4.1870 c=16.1317 alpha=90.00 beta=90.00 gamma=90.00
Space group Pnma (No. 62)
One atom of each set of equivalent atoms:
Na (0.0731, 0.2500, 0.2147) (multiplicity 4)
Tb (0.2469, 0.7500, 0.4546) (multiplicity 4)
Fe (0.1254, 0.2500, 0.6395) (multiplicity 4)
Se (0.0052, 0.2500, 0.4081) (multiplicity 4)
Se (0.1237, 0.7500, 0.0591) (multiplicity 4)
Se (0.1928, 0.2500, 0.7819) (multiplicity 4)

Output
The polymorph energy (0 for the lowest one) is 0.088 eV/atom.